[1]
An optimized crystal structure of CeErTmPu. Source: Alexandria via LeMat-Bulk, functional PBE.

```
CeErTmPu
1.0
5.495 0.000 0.000
2.747 4.759 0.000
2.747 1.586 4.486
Er Tm Pu Ce
1 1 1 1
direct
0.500 0.500 0.500
0.750 0.750 0.750
0.000 0.000 0.000
0.250 0.250 0.250
```

## Properties
- uncorrected energy (eV/atom) = -7.148
- symmetry = F-43m, No. 216
- total magnetic moment (μB/f.u.) = 8.48

=====

[2]
An optimized crystal structure of TmLuNp. Source: Alexandria via LeMat-Bulk, functional PBE.

```
TmLuNp
1.0
3.140 0.000 0.000
0.000 5.500 0.000
0.000 -2.750 4.763
Lu Np Tm
1 1 1
direct
0.667 0.667 0.333
0.167 0.333 0.667
0.167 0.000 0.000
```

## Properties
- uncorrected energy (eV/atom) = -6.911
- symmetry = P-6m2, No. 187
- total magnetic moment (μB/f.u.) = 4.61

=====

Please write out number 1 again, unchanged.
An optimized crystal structure of CeErTmPu. Source: Alexandria via LeMat-Bulk, functional PBE.

```
CeErTmPu
1.0
5.495 0.000 0.000
2.747 4.759 0.000
2.747 1.586 4.486
Er Tm Pu Ce
1 1 1 1
direct
0.500 0.500 0.500
0.750 0.750 0.750
0.000 0.000 0.000
0.250 0.250 0.250
```

## Properties
- uncorrected energy (eV/atom) = -7.148
- symmetry = F-43m, No. 216
- total magnetic moment (μB/f.u.) = 8.48

=====

Look up the total magnetic moment of the first one. 8.48 μB/f.u.